The following is a DFT calculation (PBE-GGA) of a relaxed PmGe2Bi crystal.

The space group is P4/mmm (No. 123) and the conventional cell measures 4.022, 4.022 and 6.255 Å, with angles of 90.00, 90.00 and 90.00 degrees. The asymmetric unit holds Pm at (0.000, 0.000, 0.000), Ge at (0.500, 0.500, 0.221) and Bi at (0.000, 0.000, 0.500).

The calculation puts the density of states at the Fermi level at 2.2 states/eV/cell. For the total energy, the calculation gives -18.86 eV for the cell shown. As for the calculated volume: 25.294 Å³ per atom.

---

The following is a DFT calculation (PBE-GGA) of a relaxed Pm5GeBi5 crystal.

The space group is C2/m (No. 12) and the conventional cell measures 13.710, 6.322 and 10.145 Å, with angles of 90.00, 120.20 and 90.00 degrees. The asymmetric unit holds Pm at (0.000, 0.000, 0.000), Pm at (0.151, 0.500, 0.869), Pm at (0.201, 0.500, 0.308), Ge at (0.000, 0.500, 0.000), Bi at (0.000, 0.500, 0.500), Bi at (0.111, 0.000, 0.789) and Bi at (0.221, 0.000, 0.337).

The calculation puts the density of states at the Fermi level at 9.8 states/eV/cell. For the total energy, the calculation gives -109.60 eV for the cell shown. As for the calculated volume: 34.544 Å³ per atom.

---

The following is a DFT calculation (PBE-GGA) of a relaxed PmGe2Bi crystal.

The space group is Fm-3m (No. 225) and the conventional cell measures 7.391, 7.391 and 7.391 Å, with angles of 90.00, 90.00 and 90.00 degrees. The asymmetric unit holds Pm at (0.000, 0.000, 0.000), Ge at (0.250, 0.250, 0.250) and Bi at (0.000, 0.000, 0.500).

The calculation puts the density of states at the Fermi level at 9.0 states/eV/cell. For the total energy, the calculation gives -73.91 eV for the cell shown. As for the calculated volume: 25.236 Å³ per atom.

---

The following is a DFT calculation (PBE-GGA) of a relaxed Pm6Ge3Bi crystal.

The space group is Cmc2_1 (No. 36) and the conventional cell measures 10.965, 14.599 and 7.736 Å, with angles of 90.00, 90.00 and 90.00 degrees. The asymmetric unit holds Pm at (0.000, 0.006, 0.000), Pm at (0.000, 0.247, 0.341), Pm at (0.181, 0.461, 0.374), Pm at (0.192, 0.282, 0.980), Ge at (0.000, 0.418, 0.093), Ge at (0.182, 0.108, 0.205) and Bi at (0.000, 0.176, 0.727).

The calculation puts the density of states at the Fermi level at 28.8 states/eV/cell. For the total energy, the calculation gives -209.23 eV for the cell shown. As for the calculated volume: 30.957 Å³ per atom.